Compound: RbVGe2Os
Source: the Alexandria database
Functional: GGA-PBE
Structure: relaxed

Summary:
The space group is P4/mmm. Its total moment is 0.240 μB/f.u. For the calculated volume, the calculation gives 132 Å³/f.u. The uncorrected energy comes out at -3.070 eV per atom. Its crystal system is tetragonal.

```
RbVGe2Os
1.0
5.218 0.000 0.000
0.000 5.218 0.000
0.000 0.000 4.846
Rb V Ge Os
1 1 2 1
direct
0.000 0.000 0.000 Rb
0.500 0.500 0.500 V
0.000 0.500 0.000 Ge
0.500 0.000 0.000 Ge
0.000 0.000 0.500 Os
```